The following is a PBEsol calculation of a geometry-optimized Ca2OsBr structure, from Alexandria via LeMat-Bulk.

Unit cell a=3.303 b=3.303 c=9.392 alpha=90.00 beta=90.00 gamma=90.00
Sites, in units of the cell vectors:
Ca1 0.000 0.000 0.939
Ca2 0.500 0.500 0.304
Os1 0.000 0.000 0.494
Br1 0.500 0.500 0.763

The following is a PBEsol calculation of a geometry-optimized Mg2AlRh structure, from Alexandria via LeMat-Bulk.

Summary:
Energy relative to the elements in meV/atom: -435

Unit cell a=3.102 b=3.102 c=7.107 alpha=90.00 beta=90.00 gamma=90.00
Sites, in units of the cell vectors:
Al1 0.500 0.500 0.700
Mg1 0.000 0.000 0.975
Mg2 0.500 0.500 0.294
Rh1 0.000 0.000 0.531

The following is a PBEsol calculation of a geometry-optimized LaCuIr2 structure, from Alexandria via LeMat-Bulk.

Summary:
Energy relative to the elements in meV/atom: -66

Unit cell a=4.067 b=4.067 c=4.088 alpha=90.00 beta=90.00 gamma=90.00
Sites, in units of the cell vectors:
Cu1 0.000 0.000 0.500
Ir1 0.000 0.500 0.000
Ir2 0.500 0.000 0.000
La1 0.500 0.500 0.500

The following is a PBEsol calculation of a geometry-optimized RbPuO3 structure, from Alexandria via LeMat-Bulk.

Unit cell a=4.255 b=4.255 c=4.255 alpha=90.00 beta=90.00 gamma=90.00
Sites, in units of the cell vectors:
O1 0.500 0.500 0.000
O2 0.500 0.000 0.500
O3 0.000 0.500 0.500
Rb1 0.000 0.000 0.000
Pu1 0.500 0.500 0.500

Number 1: uncorrected energy -4.198 eV/atom. Number 2: uncorrected energy -4.351 eV/atom. Number 3: uncorrected energy -7.398 eV/atom. Number 4: uncorrected energy -8.899 eV/atom.